Record 1
Density functional theory data (GGA-PBE) for a relaxed structure of Pm2Co3Ni.

Output
For the total DFT energy (no corrections), the calculation gives -6.234 eV per atom. The calculated density comes out at 8.0 g/cm³. For the energy relative to the elements, the calculation gives -0.13 eV/atom.

abc: 7.927 7.855 5.663
angles: 69.65 68.29 42.06
Sites, in units of the cell vectors:
Pm 0.248 0.752 0.248
Pm 0.250 0.250 0.250
Pm 0.750 0.750 0.750
Pm 0.752 0.248 0.752
Co 0.172 0.663 0.828
Co 0.336 0.336 0.664
Co 0.337 0.828 0.663
Co 0.663 0.172 0.337
Co 0.664 0.664 0.336
Co 0.828 0.337 0.172
Ni 0.167 0.167 0.833
Ni 0.833 0.833 0.167

Record 2
Density functional theory data (GGA-PBE) for a relaxed structure of Ce2In3Au4.

Output
For the total DFT energy (no corrections), the calculation gives -4.213 eV per atom. The calculated density comes out at 11.2 g/cm³. For the energy relative to the elements, the calculation gives -0.52 eV/atom.

abc: 4.985 4.985 9.729
angles: 90.35 90.35 59.87
Sites, in units of the cell vectors:
Ce 0.168 0.168 0.218
Ce 0.832 0.832 0.782
In 0.164 0.164 0.584
In 0.500 0.500 0.000
In 0.836 0.836 0.416
Au 0.166 0.166 0.903
Au 0.497 0.497 0.651
Au 0.503 0.503 0.349
Au 0.834 0.834 0.097

Record 3
Density functional theory data (GGA-PBE) for a relaxed structure of Ac3TlTe4O12.

Output
For the total DFT energy (no corrections), the calculation gives -5.941 eV per atom. The calculated density comes out at 5.8 g/cm³.

abc: 8.198 8.198 8.198
angles: 107.49 107.49 107.49
Sites, in units of the cell vectors:
Ac 0.000 0.550 0.450
Ac 0.450 0.000 0.550
Ac 0.550 0.450 0.000
Tl 0.000 0.000 0.000
Te 0.047 0.500 0.953
Te 0.500 0.500 0.500
Te 0.500 0.953 0.047
Te 0.953 0.047 0.500
O 0.056 0.629 0.788
O 0.114 0.886 0.500
O 0.212 0.371 0.944
O 0.344 0.656 0.500
O 0.371 0.944 0.212
O 0.500 0.114 0.886
O 0.500 0.344 0.656
O 0.629 0.788 0.056
O 0.656 0.500 0.344
O 0.788 0.056 0.629
O 0.886 0.500 0.114
O 0.944 0.212 0.371

> Which formula does entry 1 have?

Pm2Co3Ni